1.
This record from the Alexandria database describes a geometry-optimized CaTb3Y2Bi6 structure. The functional is GGA-PBE.

The structure in POSCAR format:
```
CaTb3Y2Bi6
1.0
4.503 0.000 0.000
0.000 9.031 0.326
-2.251 -2.598 9.486
Y Ca Bi Tb
2 1 6 3
Direct
0.166 0.332 0.333
0.834 0.668 0.667
0.500 0.000 0.000
0.669 0.085 0.338
0.333 0.417 0.666
0.667 0.583 0.334
0.999 0.745 0.999
0.331 0.915 0.662
0.001 0.255 0.001
0.165 0.834 0.330
0.835 0.166 0.670
0.500 0.500 0.000
```

The calculated volume comes out at 389.5 Å³/cell. The crystal system is monoclinic. The total moment is 0.0 μB per formula unit. For the formation energy, the calculation gives -10.2 eV per formula unit. For the total energy, the calculation gives -5.192 eV per atom.

=====

2.
This record from the Alexandria database describes a geometry-optimized SrBi3Cl structure. The functional is GGA-PBE.

The structure in POSCAR format:
```
SrBi3Cl
1.0
-3.015 2.934 -3.708
-2.485 -4.725 -1.717
-4.023 0.720 3.840
Bi Cl Sr
3 1 1
Direct
0.500 0.000 0.000
0.000 0.500 0.000
0.000 0.000 0.500
0.000 0.000 0.000
0.500 0.500 0.500
```

For the uncorrected formation energy, the calculation gives -0.0445 eV/atom. The calculated volume comes out at 176.4 Å³/cell. The crystal system is cubic. The total moment is 0.0 μB per formula unit. As for the energy above the lowest structure with this stoichiometry: 0 meV/atom. For the total energy, the calculation gives -3.079 eV per atom.

=====

3.
This record from the Alexandria database describes a geometry-optimized DyPuSi2 structure. The functional is GGA-PBE.

The structure in POSCAR format:
```
DyPuSi2
1.0
4.290 0.000 -0.029
0.000 3.803 0.000
-2.109 0.000 5.364
Si Dy Pu
2 1 1
Direct
0.011 0.000 0.561
0.155 0.500 0.850
0.726 0.000 0.991
0.439 0.500 0.416
```

For the uncorrected formation energy, the calculation gives -0.6030 eV/atom. The calculated volume comes out at 87.3 Å³/cell. The crystal system is orthorhombic. The total moment is 6.1 μB per formula unit. As for the energy above the lowest structure with this stoichiometry: 0 meV/atom. For the total energy, the calculation gives -8.048 eV per atom.

=====

4.
This record from the Alexandria database describes a geometry-optimized Ca5Ga2Ag12 structure. The functional is GGA-PBE.

The structure in POSCAR format:
```
Ca5Ga2Ag12
1.0
7.008 0.037 0.416
-0.250 6.840 3.604
-0.157 -0.182 8.637
Ca Ag Ga
5 12 2
Direct
0.041 0.694 0.612
0.435 0.243 0.514
0.500 0.000 0.000
0.959 0.306 0.388
0.565 0.757 0.486
0.757 0.329 0.714
0.314 0.444 0.111
0.757 0.957 0.714
0.243 0.043 0.286
0.350 0.405 0.793
0.650 0.595 0.207
0.904 0.904 0.191
0.650 0.198 0.207
0.686 0.556 0.889
0.243 0.671 0.286
0.096 0.096 0.809
0.350 0.802 0.793
0.000 0.702 0.000
0.000 0.298 0.000
```

The calculated volume comes out at 419.2 Å³/cell. The crystal system is monoclinic. The total moment is 0.0 μB per formula unit. For the formation energy, the calculation gives -3.8 eV per formula unit. For the total energy, the calculation gives -2.845 eV per atom.

=====

5.
This record from the Alexandria database describes a geometry-optimized Pm2Th2P5 structure. The functional is GGA-PBE.

The structure in POSCAR format:
```
Pm2Th2P5
1.0
-4.705 -4.112 4.533
-6.272 1.826 -4.854
4.732 -6.542 -1.023
P Th Pm
10 4 4
Direct
0.153 0.204 0.484
0.847 0.796 0.516
0.000 0.000 0.000
0.653 0.296 0.016
0.500 0.500 0.500
0.347 0.984 0.704
0.847 0.516 0.796
0.153 0.484 0.204
0.653 0.016 0.296
0.347 0.704 0.984
0.000 0.805 0.195
0.500 0.305 0.695
0.000 0.195 0.805
0.500 0.695 0.305
0.841 0.344 0.344
0.159 0.656 0.656
0.341 0.156 0.156
0.659 0.844 0.844
```

The calculated volume comes out at 425.8 Å³/cell. The crystal system is orthorhombic. The total moment is 0.0 μB per formula unit. For the formation energy, the calculation gives -11.6 eV per formula unit. For the total energy, the calculation gives -6.997 eV per atom.

=====

6.
This record from the Alexandria database describes a geometry-optimized Pm4Ho5Hg structure. The functional is GGA-PBE.

The structure in POSCAR format:
```
Pm4Ho5Hg
1.0
3.600 0.000 0.000
0.000 3.600 0.000
0.000 0.000 24.125
Pm Hg Ho
4 1 5
Direct
0.000 0.000 0.186
0.000 0.000 0.604
0.000 0.000 0.396
0.000 0.000 0.814
0.000 0.000 0.000
0.500 0.500 0.081
0.500 0.500 0.710
0.500 0.500 0.290
0.500 0.500 0.500
0.500 0.500 0.919
```

The calculated volume comes out at 312.6 Å³/cell. The crystal system is tetragonal. The total moment is 0.0 μB per formula unit. For the formation energy, the calculation gives -0.8 eV per formula unit. For the total energy, the calculation gives -4.302 eV per atom.

=====

7.
This record from the Alexandria database describes a geometry-optimized TbNd2SmTl4 structure. The functional is GGA-PBE.

The structure in POSCAR format:
```
TbNd2SmTl4
1.0
5.473 0.000 0.000
2.736 4.739 0.000
2.736 1.580 8.949
Sm Tl Nd Tb
1 4 2 1
Direct
0.000 0.000 0.000
0.624 0.624 0.127
0.126 0.126 0.623
0.874 0.874 0.377
0.376 0.376 0.873
0.750 0.750 0.749
0.250 0.250 0.251
0.500 0.500 0.500
```

The calculated volume comes out at 232.1 Å³/cell. The crystal system is trigonal. The total moment is 0.0 μB per formula unit. For the formation energy, the calculation gives -3.0 eV per formula unit. For the total energy, the calculation gives -3.919 eV per atom.

=====

8.
This record from the Alexandria database describes a geometry-optimized CeNdNp2Se4 structure. The functional is GGA-PBE.

The structure in POSCAR format:
```
CeNdNp2Se4
1.0
4.158 0.000 0.000
0.000 7.213 0.130
0.000 -2.513 6.735
Se Nd Ce Np
4 1 1 2
Direct
0.500 0.746 0.740
0.000 0.248 0.740
0.000 0.752 0.260
0.500 0.254 0.260
0.000 0.000 0.000
0.500 0.500 0.000
0.000 0.500 0.500
0.500 0.000 0.500
```

For the uncorrected formation energy, the calculation gives -1.4621 eV/atom. The calculated volume comes out at 203.4 Å³/cell. The crystal system is monoclinic. The total moment is 9.8 μB per formula unit. For the total energy, the calculation gives -7.777 eV per atom.